## SrCa2W (GGA-PBEsol)

Data for a relaxed structure of SrCa2W.

Properties
ΔE to the lowest computed polymorph, eV/atom: 0.000

a b c (Å): 3.2249 3.2249 11.2804
angles (deg): 90.00 90.00 90.00
Last column: nearest neighbours and their distance in Å.
Space group P4/mmm (No. 123)
Symmetry-distinct sites (fractional):
Sr  0.0000  0.0000  0.0000 x1  4 Sr 3.22
Ca  0.5000  0.5000  0.3063 x2  4 W 3.16, 4 Ca 3.22
W  0.0000  0.0000  0.5000 x1  8 Ca 3.16, 4 W 3.22



## YMnFe2 (GGA-PBEsol)

Data for a relaxed structure of YMnFe2.

a b c (Å): 3.2506 4.3314 8.7916
angles (deg): 90.00 90.00 90.00
Last column: nearest neighbours and their distance in Å.
Space group Imm2 (No. 44)
Symmetry-distinct sites (fractional):
Y  0.0000  0.0000  0.0000 x2  8 Fe 2.73-2.98, 4 Mn 2.91-2.94
Mn  0.0000  0.5000  0.2257 x2  8 Fe 2.73-2.97, 4 Y 2.91-2.94
Fe  0.0000  0.0000  0.4569 x2  2 Fe 2.33
Fe  0.0000  0.5000  0.7675 x2  2 Fe 2.33



## Cu5Pt (GGA-PBEsol)

Data for a relaxed structure of Cu5Pt.

Properties
ΔE to the lowest computed polymorph, eV/atom: 0.000

a b c (Å): 3.6601 10.7649 3.6455
angles (deg): 90.00 90.00 90.00
Last column: nearest neighbours and their distance in Å.
Space group Cmmm (No. 65)
Symmetry-distinct sites (fractional):
Cu  0.0000  0.0000  0.0000 x2  4 Pt 2.58, 8 Cu 2.59
Cu  0.0000  0.1705  0.5000 x4  10 Cu 2.50-2.59, 2 Pt 2.59
Cu  0.0000  0.3300  0.0000 x4  10 Cu 2.50-2.59, 2 Pt 2.58
Pt  0.0000  0.5000  0.5000 x2  12 Cu 2.58-2.59



## BeB6H14 (GGA-PBEsol)

Data for a relaxed structure of BeB6H14.

a b c (Å): 8.3833 8.0040 12.2540
angles (deg): 90.00 124.11 90.00
Last column: nearest neighbours and their distance in Å.
Space group P2_1/c (No. 14)
Symmetry-distinct sites (fractional):
Be  0.0183  0.1684  0.1753 x4  4 H 1.53-1.59
B  0.1003  0.2422  0.5652 x4  3 H 1.20-1.34
B  0.2187  0.5937  0.3564 x4  4 H 1.21-1.26
B  0.2498  0.0979  0.1765 x4  1 H 1.20
B  0.2750  0.1206  0.3296 x4  3 H 1.20-1.34
B  0.3527  0.2304  0.6534 x4  1 H 1.20
B  0.4552  0.1886  0.3092 x4  1 H 1.20
H  0.9997  0.1678  0.5962 x4  1 B 1.25
H  0.0140  0.2446  0.9476 x4  1 B 1.20
H  0.1069  0.5105  0.3742 x4  1 B 1.26
H  0.1526  0.2147  0.3258 x4  1 B 1.25
H  0.1574  0.7416  0.3260 x4  1 B 1.26
H  0.2142  0.5346  0.2638 x4  1 B 1.21
H  0.2166  0.1104  0.5986 x4  2 B 1.34-1.35
H  0.2581  0.5366  0.6368 x4  1 B 1.20
H  0.3138  0.0060  0.4038 x4  1 B 1.20
H  0.3725  0.5962  0.4611 x4  1 B 1.21
H  0.3824  0.6383  0.1280 x4  1 B 1.20
H  0.4141  0.2341  0.3968 x4  2 B 1.34-1.35
H  0.4407  0.2222  0.6035 x4  1 B 1.20
H  0.4570  0.1534  0.7718 x4  2 B 1.35



## SrZnTc (GGA-PBEsol)

Data for a relaxed structure of SrZnTc.

Properties
ΔE to the lowest computed polymorph, eV/atom: 0.358

a b c (Å): 6.5597 6.5597 6.5597
angles (deg): 90.00 90.00 90.00
Last column: nearest neighbours and their distance in Å.
Space group F-43m (No. 216)
Symmetry-distinct sites (fractional):
Sr  0.0000  0.0000  0.0000 x4  4 Zn 2.84
Zn  0.2500  0.2500  0.2500 x4  4 Tc 2.84, 4 Sr 2.84
Tc  0.0000  0.0000  0.5000 x4  4 Zn 2.84



## CaB2C6 (GGA-PBEsol)

Data for a relaxed structure of CaB2C6.

a b c (Å): 5.1499 8.7697 9.0211
angles (deg): 90.00 90.00 90.00
Last column: nearest neighbours and their distance in Å.
Space group Fmm2 (No. 42)
Symmetry-distinct sites (fractional):
Ca  0.0000  0.0000  0.0000 x4  10 C 2.63-2.66, 2 B 2.69
B  0.0000  0.2418  0.3386 x8  3 C 1.51-1.54
C  0.0000  0.2479  0.1674 x8  2 C 1.48, 1 B 1.54
C  0.2500  0.2500  0.0872 x8  3 C 1.45-1.48
C  0.2500  0.2500  0.4264 x8  1 C 1.45, 2 B 1.51



no.,spin magnetization (μB/cell),raw total energy (eV per atom)
1,0.0,-4.134
2,15.5,-8.262
3,0.0,-4.857
4,0.0,-4.451
5,8.4,-3.864
6,0.0,-8.384